A plane-wave DFT calculation with PBE was carried out for a relaxed PmNdY crystal.

Output
**E_form**: 1.8 kJ/mol of atoms
**Energy relative to the lowest polymorph listed for this composition**: 4 meV/atom

abc: 3.639 3.639 15.423
angles: 90.00 90.00 90.00
Space group I4mm (No. 107)
Unique sites:
1 Pm 0.000 0.000 0.000 x2
2 Nd 0.000 0.000 0.668 x2
3 Y 0.000 0.000 0.335 x2

A plane-wave DFT calculation with PBE was carried out for a relaxed PmNd12Y5 crystal.

Output
**E_form**: 1.5 kJ/mol of atoms

abc: 15.457 15.502 5.169
angles: 90.00 90.00 90.00
Space group Cmmm (No. 65)
Unique sites:
1 Pm 0.000 0.000 0.000 x2
2 Nd 0.166 0.000 0.500 x4
3 Nd 0.166 0.167 0.000 x8
4 Nd 0.166 0.334 0.500 x8
5 Nd 0.166 0.500 0.000 x4
6 Y 0.000 0.167 0.500 x4
7 Y 0.000 0.333 0.000 x4
8 Y 0.000 0.500 0.500 x2

A plane-wave DFT calculation with PBE was carried out for a relaxed PmNd5Y12 crystal.

Output
**E_form**: 2.0 kJ/mol of atoms

abc: 10.806 5.106 10.824
angles: 90.00 90.14 90.00
Space group P2/m (No. 10)
Unique sites:
1 Pm 0.000 0.000 0.000 x1
2 Nd 0.166 0.500 0.834 x2
3 Nd 0.333 0.000 0.667 x2
4 Nd 0.500 0.500 0.500 x1
5 Y 0.001 0.000 0.334 x2
6 Y 0.166 0.500 0.499 x2
7 Y 0.167 0.500 0.167 x2
8 Y 0.332 0.000 0.332 x2
9 Y 0.334 0.000 0.001 x2
10 Y 0.499 0.500 0.166 x2

Number 1: volume 34.05 Å³ per atom, energy -15.9 eV per formula unit. Number 2: volume 34.41 Å³ per atom, energy -94.0 eV per formula unit. Number 3: volume 33.18 Å³ per atom, energy -105.8 eV per formula unit.